VASP calculation (SCAN) on a PBEsol-optimized structure of MnCuSn2.

Output
As for the final energy: -26.058 eV per atom. The spin magnetization comes out at 3.85 μB/f.u. The density comes out at 8.301 Mg/m³.

Lattice parameters (Å, degrees): 6.5791 6.5791 6.5791 90.00 90.00 90.00
Last column: nearest neighbours and their distance in Å.
Space group Fm-3m (No. 225)
Unique sites:
Mn: 0.0000 0.0000 0.0000 (multiplicity 4)  8 Sn 2.85
Cu: 0.0000 0.0000 0.5000 (multiplicity 4)  8 Sn 2.85
Sn: 0.2500 0.2500 0.2500 (multiplicity 8)  4 Mn 2.85, 4 Cu 2.85